No. 1
! BaGaPRh (GGA-PBE, optimized geometry); values from VASP
&SYSTEM
  ibrav = 0, nat = 8, ntyp = 4
/
ATOMIC_SPECIES
Ba 137.33 Ba.upf
Ga 69.72 Ga.upf
Rh 102.91 Rh.upf
P 30.97 P.upf
CELL_PARAMETERS angstrom
3.967 0.000 0.000
0.000 3.967 0.000
0.000 0.000 12.223
ATOMIC_POSITIONS crystal
Ba 0.750 0.750 0.247
Ba 0.250 0.250 0.753
Ga 0.750 0.250 0.500
Ga 0.250 0.750 0.500
Rh 0.750 0.250 0.000
Rh 0.250 0.750 0.000
P 0.750 0.750 0.892
P 0.250 0.250 0.108
! - E_form (eV/atom) = -0.69
! - spin magnetization (μB/f.u.) = 0.0

=====

No. 2
! BaGa2PRu2 (GGA-PBE, optimized geometry); values from VASP
&SYSTEM
  ibrav = 0, nat = 6, ntyp = 4
/
ATOMIC_SPECIES
Ru 101.07 Ru.upf
P 30.97 P.upf
Ga 69.72 Ga.upf
Ba 137.33 Ba.upf
CELL_PARAMETERS angstrom
-2.118 -3.685 1.328
3.559 -2.441 -1.098
2.295 0.756 5.755
ATOMIC_POSITIONS crystal
Ru 0.500 0.000 0.000
Ru 0.000 0.500 0.000
P 0.000 0.000 0.000
Ga 0.500 0.500 0.252
Ga 0.500 0.500 0.748
Ba 0.000 0.000 0.500
! - E_form (eV/atom) = -0.39
! - spin magnetization (μB/f.u.) = 0.1

=====

No. 3
! BaGaPRu (GGA-PBE, optimized geometry); values from VASP
&SYSTEM
  ibrav = 0, nat = 8, ntyp = 4
/
ATOMIC_SPECIES
Ga 69.72 Ga.upf
Ba 137.33 Ba.upf
P 30.97 P.upf
Ru 101.07 Ru.upf
CELL_PARAMETERS angstrom
-3.096 2.317 -1.171
-1.577 -3.126 -2.017
-6.145 -3.243 9.830
ATOMIC_POSITIONS crystal
Ga 0.250 0.750 0.500
Ga 0.750 0.250 0.500
Ba 0.750 0.750 0.244
Ba 0.250 0.250 0.756
P 0.250 0.250 0.098
P 0.750 0.750 0.902
Ru 0.750 0.250 0.000
Ru 0.250 0.750 0.000
! - E_form (eV/atom) = -0.68
! - spin magnetization (μB/f.u.) = 0.0